1.
A plane-wave DFT calculation with GGA-PBE was carried out for crystalline BC2 at its relaxed geometry.

Unit cell a=4.5641 b=4.5641 c=7.7645 alpha=116.64 beta=116.64 gamma=33.12
Sites, in units of the cell vectors:
1 C 0.3413 0.3413 0.1507
2 C 0.1844 0.1844 0.2038
3 C 0.8354 0.8354 0.0373
4 C 0.5072 0.5072 0.8694
5 C 0.8269 0.8269 0.5414
6 B 0.4653 0.4653 0.3859
7 C 0.6645 0.6645 0.8365
8 B 0.6949 0.6949 0.3162
9 C 0.1589 0.1589 0.7154
10 C 0.9919 0.9919 0.5175
11 B 0.3262 0.3262 0.6777
12 B 0.0031 0.0031 0.9981

Results
Energy above the most stable polymorph in this dataset in eV per atom: 0.120
Energy of formation in eV/atom: 0.360

2.
A plane-wave DFT calculation with GGA-PBE was carried out for crystalline CdInBiPb2 at its relaxed geometry.

Unit cell a=4.5454 b=8.1117 c=8.0043 alpha=89.80 beta=90.00 gamma=90.00
Sites, in units of the cell vectors:
1 Pb 0.7500 0.8506 0.5559
2 Pb 0.2500 0.3334 0.0497
3 Cd 0.2500 0.9563 0.8594
4 Pb 0.7500 0.6666 0.9503
5 Bi 0.7500 0.4750 0.3377
6 In 0.2500 0.7722 0.2486
7 Cd 0.7500 0.0437 0.1406
8 Pb 0.2500 0.1494 0.4441
9 Bi 0.2500 0.5250 0.6623
10 In 0.7500 0.2278 0.7514

Results
Energy of formation in eV/atom: 0.040

3.
A plane-wave DFT calculation with GGA-PBE was carried out for crystalline YHoLu2 at its relaxed geometry.

Unit cell a=3.5084 b=3.5084 c=9.9019 alpha=90.00 beta=90.00 gamma=90.00
Sites, in units of the cell vectors:
1 Lu 0.0000 0.0000 0.2477
2 Ho 0.5000 0.5000 0.0000
3 Y 0.5000 0.5000 0.5000
4 Lu 0.0000 0.0000 0.7523

Results
Energy above the most stable polymorph in this dataset in eV per atom: 0.000
Energy of formation in eV/atom: 0.032

4.
A plane-wave DFT calculation with GGA-PBE was carried out for crystalline PmNdF6 at its relaxed geometry.

Unit cell a=4.1248 b=6.1449 c=6.1525 alpha=71.00 beta=70.42 gamma=70.39
Sites, in units of the cell vectors:
1 F 0.7515 0.2472 0.2500
2 F 0.2485 0.7528 0.7500
3 F 0.9488 0.3832 0.7193
4 Pm 0.0000 0.0000 0.0000
5 F 0.5506 0.1145 0.7842
6 F 0.4494 0.8855 0.2158
7 Nd 0.5000 0.5000 0.5000
8 F 0.0512 0.6168 0.2807

Results
E_form (uncorrected) in eV/atom: -4.076

5.
A plane-wave DFT calculation with GGA-PBE was carried out for crystalline Tb3NdY2 at its relaxed geometry.

Unit cell a=7.2251 b=10.2608 c=7.2185 alpha=79.92 beta=119.92 gamma=121.81
Sites, in units of the cell vectors:
1 Tb 0.8035 0.6651 0.8602
2 Y 0.6960 0.3356 0.6394
3 Nd 0.2485 0.9991 0.2494
4 Y 0.6955 0.3346 0.1390
5 Nd 0.7515 0.0009 0.7506
6 Y 0.3045 0.6654 0.8610
7 Tb 0.1965 0.3349 0.1398
8 Tb 0.2488 0.9994 0.7496
9 Tb 0.7512 0.0006 0.2504
10 Tb 0.8039 0.6658 0.3606
11 Tb 0.1961 0.3342 0.6394
12 Y 0.3040 0.6644 0.3607

Results
Energy above the most stable polymorph in this dataset in eV per atom: 0.000
Energy of formation in eV/atom: -0.004

6.
A plane-wave DFT calculation with GGA-PBE was carried out for crystalline La4AuN2 at its relaxed geometry.

Unit cell a=3.8536 b=6.6102 c=13.5393 alpha=90.00 beta=90.00 gamma=106.95
Sites, in units of the cell vectors:
1 La 0.5000 0.0000 0.5000
2 N 0.1379 0.2759 0.4423
3 La 0.0759 0.1518 0.2500
4 N 0.8621 0.7241 0.5577
5 N 0.1379 0.2759 0.0577
6 La 0.7676 0.5352 0.1043
7 Au 0.6083 0.2166 0.7500
8 La 0.9241 0.8482 0.7500
9 La 0.2324 0.4648 0.6043
10 La 0.2324 0.4648 0.8957
11 N 0.8621 0.7241 0.9423
12 La 0.5000 0.0000 0.0000
13 La 0.7676 0.5352 0.3957
14 Au 0.3917 0.7834 0.2500

Results
E_form (uncorrected) in eV/atom: -0.951